# 1
The following is a DFT calculation (SCAN) of LiTe2P at its PBEsol-relaxed geometry.

```
LiTe2P
1.0
3.025 -0.097 -0.098
-0.678 5.536 -0.012
-0.678 -0.059 5.536
P Te Li
1 2 1
direct
0.000 0.500 0.500
0.000 0.500 0.000
0.000 0.000 0.500
0.000 0.000 0.000
```

=====

# 2
The following is a DFT calculation (SCAN) of LiTeP4 at its PBEsol-relaxed geometry.

```
LiTeP4
1.0
-0.384 4.542 3.420
-4.860 2.962 0.267
-3.224 -0.232 4.693
Li P Te
1 4 1
direct
0.000 0.000 0.000
0.402 0.402 0.402
0.402 0.402 0.795
0.795 0.402 0.402
0.402 0.795 0.402
0.750 0.750 0.750
```

=====

In the order shown, the computed ΔE_f (raw) values come out to -125 263 meV/atom.